1.
The following is a PBE calculation of SrCaSc2 after structural relaxation, from Alexandria via LeMat-Bulk.

The calculation puts the calculated density at 2.7 Mg/m³. As for the energy relative to the lowest polymorph listed for this composition: 289 meV per atom. The value obtained for the formation energy is 0.4531 eV/atom. As for the total magnetization: 1.67 μB/f.u.

Cell lengths 12.682, 12.682, 12.682 Å; angles 15.94, 15.94, 15.94 degrees
Site moments in Bohr magnetons follow the coordinates.
Atoms (fractional coordinates):
Sc: 0.089 0.089 0.089  0.41
Sc: 0.911 0.911 0.911  0.41
Ca: 0.500 0.500 0.500  0.04
Sr: 0.000 0.000 0.000  0.02

---

2.
The following is a PBE calculation of CaCr2Cl after structural relaxation, from Alexandria via LeMat-Bulk.

The calculation puts the calculated density at 3.4 Mg/m³. As for the energy relative to the lowest polymorph listed for this composition: 795 meV per atom. The value obtained for the formation energy without anion corrections is 645 meV per atom. As for the total magnetization: 4.48 μB/f.u.

Cell lengths 4.657, 4.657, 8.708 Å; angles 74.49, 74.49, 90.00 degrees
Site moments in Bohr magnetons follow the coordinates.
Atoms (fractional coordinates):
Cr: 0.375 0.625 0.250  1.87
Cr: 0.875 0.625 0.750  2.08
Cr: 0.375 0.125 0.250  1.85
Cr: 0.375 0.625 0.750  2.06
Ca: 0.750 0.250 0.500  0.03
Ca: 0.000 0.000 0.000  0.03
Cl: 0.250 0.750 0.500  -0.03
Cl: 0.500 0.500 0.000  -0.03

---

3.
The following is a PBE calculation of CaSn2H after structural relaxation, from Alexandria via LeMat-Bulk.

The calculation puts the calculated density at 4.9 Mg/m³. The value obtained for the electronic total energy is -12.02 eV for the cell shown. As for the total magnetization: 0.00 μB/f.u.

Cell lengths 5.117, 5.117, 5.117 Å; angles 60.00, 60.00, 60.00 degrees
Atoms (fractional coordinates):
Ca: 0.500 0.500 0.500
Sn: 0.750 0.750 0.750
Sn: 0.250 0.250 0.250
H: 0.000 0.000 0.000

---

4.
The following is a PBE calculation of Y2MnCl after structural relaxation, from Alexandria via LeMat-Bulk.

The calculation puts the calculated density at 3.9 Mg/m³. As for the energy relative to the lowest polymorph listed for this composition: 191 meV per atom. The value obtained for the formation energy without anion corrections is -284 meV per atom. As for the total magnetization: 3.80 μB/f.u.

Cell lengths 3.402, 3.402, 9.798 Å; angles 90.00, 90.00, 89.96 degrees
Site moments in Bohr magnetons follow the coordinates.
Atoms (fractional coordinates):
Mn: 0.500 0.500 0.793  3.87
Y: 0.000 0.000 0.987  -0.34
Y: 0.500 0.500 0.278  0.15
Cl: 0.000 0.000 0.442  0.01

---

5.
The following is a PBE calculation of HPdRh2Au after structural relaxation, from Alexandria via LeMat-Bulk.

The calculation puts the calculated density at 13.2 Mg/m³. As for the energy relative to the lowest polymorph listed for this composition: 0 meV per atom. As for the total magnetization: 0.61 μB/f.u.

Cell lengths 3.971, 3.971, 4.065 Å; angles 90.00, 90.00, 90.00 degrees
Site moments in Bohr magnetons follow the coordinates.
Atoms (fractional coordinates):
Rh: 0.500 0.000 0.000  0.25
Rh: 0.000 0.500 0.000  0.25
H: 0.000 0.000 0.000  0.00
Pd: 0.000 0.000 0.500  0.08
Au: 0.500 0.500 0.500  0.04

---

6.
The following is a PBE calculation of NaYN3 after structural relaxation, from Alexandria via LeMat-Bulk.

The calculation puts the calculated density at 4.0 Mg/m³. The value obtained for the formation energy without anion corrections is 1389 meV per atom. As for the total magnetization: 1.30 μB/f.u.

Cell lengths 3.983, 3.983, 3.983 Å; angles 90.00, 90.00, 90.00 degrees
Site moments in Bohr magnetons follow the coordinates.
Atoms (fractional coordinates):
N: 0.000 0.500 0.000  0.29
N: 0.000 0.000 0.500  0.34
N: 0.500 0.000 0.000  0.34
Y: 0.500 0.500 0.500  -0.04
Na: 0.000 0.000 0.000  0.04

---

7.
The following is a PBE calculation of TaSb2Mo after structural relaxation, from Alexandria via LeMat-Bulk.

The calculation puts the calculated density at 10.9 Mg/m³. The value obtained for the formation energy without anion corrections is 427 meV per atom. As for the total magnetization: 0.00 μB/f.u.

Cell lengths 5.177, 5.177, 5.177 Å; angles 130.07, 130.07, 73.30 degrees
Atoms (fractional coordinates):
Mo: 0.750 0.250 0.500
Sb: 0.250 0.750 0.500
Sb: 0.000 0.000 0.000
Ta: 0.500 0.500 0.000

---

8.
The following is a PBE calculation of KHgSb3 after structural relaxation, from Alexandria via LeMat-Bulk.

The calculation puts the calculated density at 5.4 Mg/m³. As for the energy relative to the lowest polymorph listed for this composition: 0 meV per atom. The value obtained for the formation energy without anion corrections is 351 meV per atom. As for the total magnetization: 0.00 μB/f.u.

Cell lengths 5.708, 5.708, 5.708 Å; angles 90.00, 90.00, 90.00 degrees
Atoms (fractional coordinates):
Sb: 0.000 0.000 0.500
Sb: 0.500 0.000 0.000
Sb: 0.000 0.500 0.000
K: 0.500 0.500 0.500
Hg: 0.000 0.000 0.000

---

Repeat the third record exactly.
The following is a PBE calculation of CaSn2H after structural relaxation, from Alexandria via LeMat-Bulk.

The calculation puts the calculated density at 4.9 Mg/m³. The value obtained for the electronic total energy is -12.02 eV for the cell shown. As for the total magnetization: 0.00 μB/f.u.

Cell lengths 5.117, 5.117, 5.117 Å; angles 60.00, 60.00, 60.00 degrees
Atoms (fractional coordinates):
Ca: 0.500 0.500 0.500
Sn: 0.750 0.750 0.750
Sn: 0.250 0.250 0.250
H: 0.000 0.000 0.000